No. 1
Material: ZnCr2O4
Method: DFT, GGA-PBEsol
State: optimized geometry

The uncorrected energy comes out at -7.981 eV per atom.

The structure belongs to space group Fd-3m (No. 227, origin choice 2); the cell edges are 8.3086, 8.3086 and 8.3086 Å and the angles 90.00°, 90.00° and 90.00°. The inequivalent atoms are Zn at (0.1250, 0.1250, 0.1250), Cr at (0.0000, 0.0000, 0.5000) and O at (0.0120, 0.0120, 0.7380).

No. 2
Material: Zn2CdPt2
Method: DFT, GGA-PBEsol
State: optimized geometry

The uncorrected energy comes out at -4.071 eV per atom. As for the calculated formation energy: -0.414 eV/atom. The value obtained for the polymorph energy (0 for the lowest one) is 0 meV per atom.

The structure belongs to space group P4/mbm (No. 127); the cell edges are 7.3791, 7.3791 and 2.8568 Å and the angles 90.00°, 90.00° and 90.00°. The inequivalent atoms are Zn at (0.1530, 0.3470, 0.0000), Cd at (0.0000, 0.0000, 0.5000) and Pt at (0.1438, 0.6438, 0.5000).

No. 3
Material: Ag5Au3
Method: DFT, GGA-PBEsol
State: optimized geometry

The uncorrected energy comes out at -3.593 eV per atom. As for the calculated formation energy: -0.052 eV/atom. The value obtained for the polymorph energy (0 for the lowest one) is 0 meV per atom.

The structure belongs to space group Cmmm (No. 65); the cell edges are 8.1555, 8.1921 and 3.9828 Å and the angles 90.00°, 90.00° and 90.00°. The inequivalent atoms are Ag at (0.0000, 0.0000, 0.0000), Ag at (0.0000, 0.2490, 0.5000), Ag at (0.2500, 0.2500, 0.0000), Au at (0.0000, 0.5000, 0.0000) and Au at (0.2497, 0.0000, 0.5000).

No. 4
Material: PdSe2O5
Method: DFT, GGA-PBEsol
State: optimized geometry

The uncorrected energy comes out at -5.636 eV per atom.

The structure belongs to space group C2/c (No. 15); the cell edges are 12.1091, 5.6764 and 7.0626 Å and the angles 90.00°, 107.51° and 90.00°. The inequivalent atoms are Pd at (0.0000, 0.0000, 0.0000), Se at (0.1408, 0.4053, 0.3201), O at (0.0000, 0.4543, 0.7500), O at (0.1294, 0.2259, 0.1216) and O at (0.1295, 0.2268, 0.5103).

No. 5
Material: AlCoF2
Method: DFT, GGA-PBEsol
State: optimized geometry

The uncorrected energy comes out at -4.790 eV per atom. The value obtained for the polymorph energy (0 for the lowest one) is 306 meV per atom.

The structure belongs to space group I4_1/amd (No. 141, origin choice 2); the cell edges are 5.6291, 5.6291 and 8.0742 Å and the angles 90.00°, 90.00° and 90.00°. The inequivalent atoms are Al at (0.0000, 0.2500, 0.3750), Co at (0.0000, 0.2500, 0.8750) and F at (0.0000, 0.0000, 0.5000).

No. 6
Material: Tl4Cd3
Method: DFT, GGA-PBEsol
State: optimized geometry

The uncorrected energy comes out at -1.988 eV per atom. As for the calculated formation energy: 0.028 eV/atom.

The structure belongs to space group P6/mmm (No. 191); the cell edges are 5.7135, 5.7135 and 6.3904 Å and the angles 90.00°, 90.00° and 120.00°. The inequivalent atoms are Tl at (0.0000, 0.0000, 0.2399), Tl at (0.3333, 0.6667, 0.0000) and Cd at (0.0000, 0.5000, 0.5000).

No. 7
Material: AgAsN2O
Method: DFT, GGA-PBEsol
State: optimized geometry

The uncorrected energy comes out at -5.241 eV per atom.

The structure belongs to space group P4/mmm (No. 123); the cell edges are 3.8110, 3.8110 and 3.7105 Å and the angles 90.00°, 90.00° and 90.00°. The inequivalent atoms are Ag at (0.0000, 0.0000, 0.0000), As at (0.5000, 0.5000, 0.5000), N at (0.0000, 0.5000, 0.5000) and O at (0.5000, 0.5000, 0.0000).

No. 8
Material: Sc2CoPt
Method: DFT, GGA-PBEsol
State: optimized geometry

The uncorrected energy comes out at -7.762 eV per atom. As for the calculated formation energy: -0.784 eV/atom.

The structure belongs to space group P4/mmm (No. 123); the cell edges are 3.1596, 3.1596 and 6.3575 Å and the angles 90.00°, 90.00° and 90.00°. The inequivalent atoms are Sc at (0.0000, 0.0000, 0.2360), Co at (0.5000, 0.5000, 0.0000) and Pt at (0.5000, 0.5000, 0.5000).